Record 1
{"formula": "Pr7Nd3Dy2", "functional": "PBE-GGA", "state": "relaxed", "polymorph_energy_mev_per_atom": 15, "formation_energy_ev_per_atom": 0.09, "sg": "P2/m, No. 10", "cell": [[3.6501, 0.0000, 0.0000], [0.0000, 6.0076, 0.2816], [0.0000, -2.0127, 19.3362]], "species": ["Nd", "Nd", "Nd", "Pr", "Pr", "Pr", "Pr", "Pr", "Pr", "Pr", "Dy", "Dy"], "fractional_positions": [[0.0000, 0.2177, 0.3662], [0.0000, 0.7823, 0.6338], [0.5000, 0.5000, 0.0000], [0.0000, 0.3181, 0.8540], [0.5000, 0.1844, 0.1829], [0.5000, 0.8156, 0.8171], [0.5000, 0.7431, 0.4645], [0.0000, 0.0000, 0.0000], [0.5000, 0.2569, 0.5355], [0.0000, 0.6819, 0.1460], [0.5000, 0.2913, 0.7037], [0.5000, 0.7087, 0.2963]]}

Record 2
{"formula": "Pr3NdDy7", "functional": "PBE-GGA", "state": "relaxed", "polymorph_energy_mev_per_atom": 0, "formation_energy_ev_per_atom": 0.12, "sg": "P-1, No. 2", "cell": [[6.6432, -0.5628, 0.7777], [-0.1701, 6.4799, 1.0809], [0.3564, -0.0880, 8.6890]], "species": ["Dy", "Dy", "Dy", "Dy", "Dy", "Dy", "Dy", "Pr", "Pr", "Pr", "Nd"], "fractional_positions": [[0.0000, 0.5000, 0.5000], [0.7354, 0.9861, 0.5839], [0.7070, 0.5585, 0.8561], [0.2646, 0.0139, 0.4161], [0.7774, 0.2737, 0.2158], [0.2226, 0.7263, 0.7842], [0.2930, 0.4415, 0.1439], [0.9373, 0.7993, 0.1610], [0.5000, 0.0000, 0.0000], [0.0627, 0.2007, 0.8390], [0.5000, 0.5000, 0.5000]]}

Record 3
{"formula": "Pr6NdDy12", "functional": "PBE-GGA", "state": "relaxed", "formation_energy_ev_per_atom": 0.21, "sg": "R-3m, No. 166", "cell": [[8.7158, -0.1569, -1.1998], [-1.3549, 8.6113, -1.1998], [-0.1366, -0.1569, 8.7970]], "species": ["Dy", "Dy", "Dy", "Dy", "Dy", "Dy", "Dy", "Dy", "Dy", "Dy", "Dy", "Dy", "Pr", "Pr", "Pr", "Pr", "Pr", "Pr", "Nd"], "fractional_positions": [[0.0811, 0.3560, 0.3560], [0.2438, 0.5000, 0.7562], [0.6440, 0.9189, 0.6440], [0.2438, 0.7562, 0.5000], [0.3560, 0.0811, 0.3560], [0.5000, 0.7562, 0.2438], [0.3560, 0.3560, 0.0811], [0.5000, 0.2438, 0.7562], [0.6440, 0.6440, 0.9189], [0.7562, 0.2438, 0.5000], [0.9189, 0.6440, 0.6440], [0.7562, 0.5000, 0.2438], [0.9016, 0.3449, 0.9016], [0.0984, 0.6551, 0.0984], [0.9016, 0.9016, 0.3449], [0.6551, 0.0984, 0.0984], [0.0984, 0.0984, 0.6551], [0.3449, 0.9016, 0.9016], [0.0000, 0.0000, 0.0000]]}

Record 4
{"formula": "PrNd3Dy12", "functional": "PBE-GGA", "state": "relaxed", "formation_energy_ev_per_atom": 0.02, "sg": "P4/mmm, No. 123", "cell": [[-4.3085, -1.8313, 1.9170], [-0.5568, -2.9514, -4.0708], [10.3709, -14.7161, 9.2506]], "species": ["Pr", "Dy", "Dy", "Dy", "Dy", "Dy", "Dy", "Dy", "Dy", "Dy", "Dy", "Dy", "Dy", "Nd", "Nd", "Nd"], "fractional_positions": [[0.0000, 0.0000, 0.0000], [0.5000, 0.5000, 0.5000], [0.5000, 0.5000, 0.7497], [0.5000, 0.5000, 0.2503], [0.0000, 0.5000, 0.3752], [0.0000, 0.5000, 0.6248], [0.5000, 0.5000, 0.0000], [0.5000, 0.0000, 0.1254], [0.5000, 0.0000, 0.3752], [0.5000, 0.0000, 0.6248], [0.0000, 0.5000, 0.1254], [0.0000, 0.5000, 0.8746], [0.5000, 0.0000, 0.8746], [0.0000, 0.0000, 0.5000], [0.0000, 0.0000, 0.7498], [0.0000, 0.0000, 0.2502]]}

Record 5
{"formula": "Pr2NdDy", "functional": "PBE-GGA", "state": "relaxed", "polymorph_energy_mev_per_atom": 134, "formation_energy_ev_per_atom": 0.15, "sg": "R-3m, No. 166", "cell": [[-1.2431, -2.8857, -1.6908], [1.8339, -3.0589, 0.1074], [-6.1423, -5.4128, 9.9894]], "species": ["Pr", "Pr", "Nd", "Dy"], "fractional_positions": [[0.0899, 0.0899, 0.7304], [0.9101, 0.9101, 0.2696], [0.0000, 0.0000, 0.0000], [0.5000, 0.5000, 0.5000]]}

Record 6
{"formula": "Pr2Nd2Dy", "functional": "PBE-GGA", "state": "relaxed", "polymorph_energy_mev_per_atom": 0, "formation_energy_ev_per_atom": 0.14, "sg": "P-1, No. 2", "cell": [[5.7981, 1.4984, -1.8120], [3.9486, 4.5041, -1.8348], [-0.5585, -0.3035, 8.9246]], "species": ["Dy", "Nd", "Nd", "Pr", "Pr"], "fractional_positions": [[0.0000, 0.0000, 0.0000], [0.1080, 0.1051, 0.4099], [0.8920, 0.8949, 0.5901], [0.3214, 0.3233, 0.1993], [0.6786, 0.6767, 0.8007]]}